# 1
# ThMgAl2Ga2

A relaxed structure of ThMgAl2Ga2 (PBE, Alexandria).

Its magnetization is 0.00 μB per formula unit. For the formation energy, the calculation gives -0.32 eV per atom.

Geometry as CIF:
```
data_ThMgAl2Ga2
_cell_length_a 4.581
_cell_length_b 4.581
_cell_length_c 6.700
_cell_angle_alpha 90.00
_cell_angle_beta 90.00
_cell_angle_gamma 120.00
_symmetry_space_group_name_H-M 'P 1'
_symmetry_Int_Tables_number 1
loop_
_symmetry_equiv_pos_as_xyz
'x,y,z'
loop_
_atom_site_label
_atom_site_type_symbol
_atom_site_fract_x
_atom_site_fract_y
_atom_site_fract_z
_atom_site_occupancy
Ga1 Ga 0.333 0.667 0.284 1
Ga2 Ga 0.667 0.333 0.716 1
Al1 Al 0.333 0.667 0.700 1
Mg1 Mg 0.000 0.000 0.500 1
Th1 Th 0.000 0.000 0.000 1
Al2 Al 0.667 0.333 0.300 1
```


# 2
# NaNpBe2O6

A relaxed structure of NaNpBe2O6 (PBE, Alexandria).

Its magnetization is 0.00 μB per formula unit. The value obtained for the total energy is -7.56 eV per atom.

Geometry as CIF:
```
data_NaNpBe2O6
_cell_length_a 5.522
_cell_length_b 6.835
_cell_length_c 6.835
_cell_angle_alpha 85.68
_cell_angle_beta 74.70
_cell_angle_gamma 74.70
_symmetry_space_group_name_H-M 'P 1'
_symmetry_Int_Tables_number 1
loop_
_symmetry_equiv_pos_as_xyz
'x,y,z'
loop_
_atom_site_label
_atom_site_type_symbol
_atom_site_fract_x
_atom_site_fract_y
_atom_site_fract_z
_atom_site_occupancy
Np1 Np 0.250 0.287 0.713 1
O1 O 0.171 0.614 0.709 1
O2 O 0.792 0.005 0.253 1
Na1 Na 0.250 0.914 0.086 1
Be1 Be 0.153 0.364 0.221 1
O3 O 0.292 0.253 0.005 1
Be2 Be 0.847 0.636 0.779 1
O4 O 0.119 0.618 0.194 1
O5 O 0.829 0.386 0.291 1
O6 O 0.671 0.709 0.614 1
O7 O 0.881 0.382 0.806 1
O8 O 0.208 0.995 0.747 1
Be3 Be 0.653 0.221 0.364 1
Na2 Na 0.750 0.086 0.914 1
O9 O 0.708 0.747 0.995 1
O10 O 0.329 0.291 0.386 1
Be4 Be 0.347 0.779 0.636 1
O11 O 0.619 0.194 0.618 1
Np2 Np 0.750 0.713 0.287 1
O12 O 0.381 0.806 0.382 1
```


# 3
# LiPr2Er

A relaxed structure of LiPr2Er (PBE, Alexandria).

Its magnetization is 0.00 μB per formula unit. For the formation energy, the calculation gives 0.16 eV per atom. As for the polymorph energy (0 for the lowest one): 93.0 meV/atom.

Geometry as CIF:
```
data_LiPr2Er
_cell_length_a 3.535
_cell_length_b 3.535
_cell_length_c 12.613
_cell_angle_alpha 81.94
_cell_angle_beta 81.94
_cell_angle_gamma 60.00
_symmetry_space_group_name_H-M 'P 1'
_symmetry_Int_Tables_number 1
loop_
_symmetry_equiv_pos_as_xyz
'x,y,z'
loop_
_atom_site_label
_atom_site_type_symbol
_atom_site_fract_x
_atom_site_fract_y
_atom_site_fract_z
_atom_site_occupancy
Er1 Er 0.500 0.500 0.500 1
Li1 Li 0.000 0.000 0.000 1
Pr1 Pr 0.911 0.911 0.268 1
Pr2 Pr 0.089 0.089 0.732 1
```


# 4
# BaCu3

A relaxed structure of BaCu3 (PBE, Alexandria).

Its magnetization is 0.00 μB per formula unit. For the formation energy, the calculation gives -0.03 eV per atom.

Geometry as CIF:
```
data_BaCu3
_cell_length_a 4.302
_cell_length_b 4.302
_cell_length_c 10.959
_cell_angle_alpha 90.00
_cell_angle_beta 90.00
_cell_angle_gamma 120.00
_symmetry_space_group_name_H-M 'P 1'
_symmetry_Int_Tables_number 1
loop_
_symmetry_equiv_pos_as_xyz
'x,y,z'
loop_
_atom_site_label
_atom_site_type_symbol
_atom_site_fract_x
_atom_site_fract_y
_atom_site_fract_z
_atom_site_occupancy
Cu1 Cu 0.667 0.333 0.468 1
Cu2 Cu 0.667 0.333 0.032 1
Ba1 Ba 0.333 0.667 0.250 1
Cu3 Cu 0.333 0.667 0.968 1
Cu4 Cu 0.000 0.000 0.500 1
Ba2 Ba 0.667 0.333 0.750 1
Cu5 Cu 0.000 0.000 0.000 1
Cu6 Cu 0.333 0.667 0.532 1
```